Entry 1:
Here is crystalline RbLiMo2As at its relaxed geometry from the Alexandria database. Energies are from PBE.

Properties
- Energy: -20.45 eV per formula unit
- Magnetization: 1.19 μB per atom
- Symmetry: P4/mmm

```
RbLiMo2As
1.0
4.802 0.000 0.000
0.000 4.760 0.000
0.000 0.000 4.802
Mo As Rb Li
2 1 1 1
direct
0.500 0.000 0.000 Mo
0.000 0.000 0.500 Mo
0.500 0.500 0.500 As
0.000 0.500 0.000 Rb
0.000 0.000 0.000 Li
```

---

Entry 2:
Here is crystalline Ho2ErPbC at its relaxed geometry from the Alexandria database. Energies are from PBE.

Properties
- Energy: -29.43 eV per formula unit
- Magnetization: 0.00 μB per atom
- Symmetry: P4/mmm

```
Ho2ErPbC
1.0
4.866 0.000 0.000
0.000 4.892 0.000
0.000 0.000 4.892
Er Pb C Ho
1 1 1 2
direct
0.500 0.000 0.000 Er
0.500 0.500 0.500 Pb
0.000 0.000 0.000 C
0.000 0.000 0.500 Ho
0.000 0.500 0.000 Ho
```

---

Entry 3:
Here is crystalline Sc2TiClO at its relaxed geometry from the Alexandria database. Energies are from PBE.

Properties
- Energy: -30.14 eV per formula unit
- Magnetization: 0.22 μB per atom
- Symmetry: P4/mmm

```
Sc2TiClO
1.0
5.430 0.000 0.000
0.000 3.728 0.000
0.000 0.000 5.430
Cl Sc Ti O
1 2 1 1
direct
0.500 0.500 0.500 Cl
0.500 0.000 0.000 Sc
0.000 0.000 0.500 Sc
0.000 0.000 0.000 Ti
0.000 0.500 0.000 O
```

---

> Which value of magnetization does entry 2 give?

0.00 μB per atom

---

> Which formula does entry 2 have?

Ho2ErPbC